1.
First-principles (PBE) data for crystalline In3Sn4Hg at its relaxed geometry, as listed in Alexandria.

Computed properties:
The calculation puts the calculated formation energy at 0.05 eV per atom.

abc: 11.2603 11.2603 5.0010
angles: 99.60 99.60 20.43
Last column: nearest neighbours and their distance in Å.
Sites, in units of the cell vectors:
1 In 0.0000 0.0000 0.0000  4 Hg 3.20, 4 Sn 3.44
2 In 0.2527 0.2527 0.2541  4 In 3.19-3.22, 5 Sn 3.39-3.41
3 In 0.7473 0.7473 0.7459  4 In 3.19-3.22, 5 Sn 3.39-3.41
4 Sn 0.1217 0.1217 0.5911  4 Sn 3.20-3.21, 2 Hg 3.32, 2 In 3.41
5 Sn 0.3718 0.3718 0.9031  4 Sn 3.20-3.21, 5 In 3.39-3.44
6 Sn 0.6282 0.6282 0.0969  4 Sn 3.20-3.21, 5 In 3.39-3.44
7 Sn 0.8783 0.8783 0.4089  4 Sn 3.20-3.21, 2 Hg 3.32, 2 In 3.41
8 Hg 0.5000 0.5000 0.5000  4 In 3.20, 4 Sn 3.32



2.
First-principles (PBE) data for crystalline In5Sn4Hg2 at its relaxed geometry, as listed in Alexandria.

Computed properties:
The calculation puts the calculated formation energy at 0.05 eV per atom.

abc: 4.3326 7.2750 19.5648
angles: 80.54 89.96 89.93
Last column: nearest neighbours and their distance in Å.
Sites, in units of the cell vectors:
1 In 0.0000 0.0000 0.0000  8 Sn 3.14-3.25
2 In 0.0000 0.0000 0.5000  8 Sn 3.19-3.37, 2 In 3.41
3 In 0.9997 0.2904 0.3169  4 Hg 3.12-3.27, 4 Sn 3.28-3.50, 2 In 3.33-3.34
4 In 0.9999 0.3610 0.5911  6 Sn 3.18-3.49, 2 In 3.34-3.41, 2 Hg 3.43
5 In 0.0003 0.4694 0.8891  6 Sn 3.23-3.61, 2 Hg 3.25-3.26
6 In 0.9997 0.5306 0.1109  6 Sn 3.23-3.61, 2 Hg 3.25-3.26
7 In 0.0001 0.6390 0.4089  6 Sn 3.18-3.49, 2 In 3.34-3.41, 2 Hg 3.43
8 In 0.0003 0.7096 0.6831  4 Hg 3.12-3.27, 4 Sn 3.28-3.50, 2 In 3.33-3.34
9 In 0.0005 0.0836 0.7614  4 Hg 3.16-3.24, 4 Sn 3.24-3.44, 1 In 3.33
10 In 0.9995 0.9164 0.2386  4 Hg 3.16-3.24, 4 Sn 3.24-3.44, 1 In 3.33
11 Sn 0.5003 0.0395 0.6287  8 In 3.18-3.44, 1 Sn 3.30, 1 Hg 3.46
12 Sn 0.5004 0.1444 0.8791  6 In 3.23-3.25, 2 Hg 3.29-3.40, 2 Sn 3.32-3.33
13 Sn 0.4996 0.2872 0.0320  4 In 3.14-3.34, 3 Sn 3.14-3.33, 1 Hg 3.17
14 Sn 0.5001 0.3186 0.4549  8 In 3.19-3.50, 2 Sn 3.30-3.41
15 Sn 0.4999 0.6814 0.5451  8 In 3.19-3.50, 2 Sn 3.30-3.41
16 Sn 0.5004 0.7128 0.9680  4 In 3.14-3.34, 3 Sn 3.14-3.33, 1 Hg 3.17
17 Sn 0.4996 0.8556 0.1209  6 In 3.23-3.25, 2 Hg 3.29-3.40, 2 Sn 3.32-3.33
18 Sn 0.4997 0.9605 0.3713  8 In 3.18-3.44, 1 Sn 3.30, 1 Hg 3.46
19 Hg 0.4998 0.2464 0.1957  2 Sn 3.17-3.40, 1 Hg 3.22, 6 In 3.24-3.27
20 Hg 0.5001 0.4013 0.7238  6 In 3.12-3.43, 1 Hg 3.22, 2 Sn 3.29-3.46
21 Hg 0.4999 0.5987 0.2762  6 In 3.12-3.43, 1 Hg 3.22, 2 Sn 3.29-3.46
22 Hg 0.5002 0.7536 0.8043  2 Sn 3.17-3.40, 1 Hg 3.22, 6 In 3.24-3.27



3.
First-principles (PBE) data for crystalline In2SnHg3 at its relaxed geometry, as listed in Alexandria.

Computed properties:
The calculation puts the calculated formation energy at 0.04 eV per atom.

abc: 3.6443 3.6443 11.9514
angles: 90.00 90.00 90.00
Last column: nearest neighbours and their distance in Å.
Sites, in units of the cell vectors:
1 In 0.0000 0.0000 0.1661  8 Hg 3.25-3.26
2 In 0.0000 0.0000 0.8339  8 Hg 3.25-3.26
3 Sn 0.0000 0.0000 0.5000  8 Hg 3.26, 4 Sn 3.64
4 Hg 0.5000 0.5000 0.0000  8 In 3.25
5 Hg 0.5000 0.5000 0.3328  4 In 3.26, 4 Sn 3.26, 4 Hg 3.64
6 Hg 0.5000 0.5000 0.6672  4 In 3.26, 4 Sn 3.26, 4 Hg 3.64



4.
First-principles (PBE) data for crystalline InSnHg at its relaxed geometry, as listed in Alexandria.

Computed properties:
The calculation puts the calculated formation energy at 0.04 eV per atom.

abc: 4.3566 4.3566 9.2019
angles: 101.62 101.62 88.80
Last column: nearest neighbours and their distance in Å.
Sites, in units of the cell vectors:
1 In 0.1501 0.1501 0.3396  5 Hg 3.05-3.14, 1 Sn 3.26
2 In 0.8499 0.8499 0.6604  5 Hg 3.05-3.14, 1 Sn 3.26
3 Sn 0.2543 0.2543 0.0122  4 Sn 3.06-3.13, 2 Hg 3.16-3.27, 1 In 3.26
4 Sn 0.7457 0.7457 0.9878  4 Sn 3.06-3.13, 2 Hg 3.16-3.27, 1 In 3.26
5 Hg 0.3545 0.3545 0.6818  5 In 3.05-3.14, 2 Sn 3.16-3.27
6 Hg 0.6455 0.6455 0.3182  5 In 3.05-3.14, 2 Sn 3.16-3.27



5.
First-principles (PBE) data for crystalline InSnHg2 at its relaxed geometry, as listed in Alexandria.

Computed properties:
The calculation puts the calculated formation energy at 0.06 eV per atom.

abc: 4.7148 4.7148 4.6595
angles: 90.00 90.00 90.00
Last column: nearest neighbours and their distance in Å.
Sites, in units of the cell vectors:
1 In 0.0000 0.0000 0.0000  8 Hg 3.31, 4 Sn 3.33
2 Sn 0.5000 0.5000 0.0000  8 Hg 3.31, 4 In 3.33
3 Hg 0.0000 0.5000 0.5000  4 In 3.31, 4 Sn 3.31, 4 Hg 3.33
4 Hg 0.5000 0.0000 0.5000  4 In 3.31, 4 Sn 3.31, 4 Hg 3.33



6.
First-principles (PBE) data for crystalline In5SnHg2 at its relaxed geometry, as listed in Alexandria.

Computed properties:
The calculation puts the calculated formation energy at 0.02 eV per atom.

abc: 8.6690 8.6690 8.6690
angles: 123.44 123.44 84.14
Last column: nearest neighbours and their distance in Å.
Sites, in units of the cell vectors:
1 In 0.0000 0.0000 0.0000  4 Hg 3.13, 2 Sn 3.22
2 In 0.0106 0.5106 0.1997  3 Hg 3.12-3.21, 4 In 3.27-3.49, 2 Sn 3.33
3 In 0.1892 0.9894 0.5000  3 Hg 3.12-3.21, 4 In 3.27-3.49, 2 Sn 3.33
4 In 0.3108 0.8108 0.8003  3 Hg 3.12-3.21, 4 In 3.27-3.49, 2 Sn 3.33
5 In 0.4894 0.6892 0.5000  3 Hg 3.12-3.21, 4 In 3.27-3.49, 2 Sn 3.33
6 In 0.5000 0.5000 0.0000  4 Hg 3.13, 2 Sn 3.22
7 In 0.5106 0.3108 0.5000  3 Hg 3.12-3.21, 4 In 3.27-3.49, 2 Sn 3.33
8 In 0.6892 0.1892 0.1997  3 Hg 3.12-3.21, 4 In 3.27-3.49, 2 Sn 3.33
9 In 0.8108 0.0106 0.5000  3 Hg 3.12-3.21, 4 In 3.27-3.49, 2 Sn 3.33
10 In 0.9894 0.4894 0.8003  3 Hg 3.12-3.21, 4 In 3.27-3.49, 2 Sn 3.33
11 Sn 0.2500 0.2500 0.0000  10 In 3.22-3.33
12 Sn 0.7500 0.7500 0.0000  10 In 3.22-3.33
13 Hg 0.1484 0.3516 0.5000  8 In 3.12-3.21, 1 Hg 3.45
14 Hg 0.3516 0.8516 0.2031  8 In 3.12-3.21, 1 Hg 3.45
15 Hg 0.6484 0.1484 0.7969  8 In 3.12-3.21, 1 Hg 3.45
16 Hg 0.8516 0.6484 0.5000  8 In 3.12-3.21, 1 Hg 3.45



7.
First-principles (PBE) data for crystalline In3Sn12Hg5 at its relaxed geometry, as listed in Alexandria.

Computed properties:
The calculation puts the calculated formation energy at 0.16 eV per atom.

abc: 15.0817 15.0817 15.0817
angles: 109.47 109.47 109.47
Last column: nearest neighbours and their distance in Å.
Sites, in units of the cell vectors:
1 In 0.1250 0.2500 0.3750  8 Sn 3.05-3.24
2 In 0.1250 0.3750 0.7500  8 Sn 3.05-3.24
3 In 0.2500 0.3750 0.1250  8 Sn 3.05-3.24
4 In 0.2500 0.8750 0.6250  8 Sn 3.05-3.24
5 In 0.3750 0.1250 0.2500  8 Sn 3.05-3.24
6 In 0.3750 0.7500 0.1250  8 Sn 3.05-3.24
7 In 0.6250 0.2500 0.8750  8 Sn 3.05-3.24
8 In 0.6250 0.8750 0.7500  8 Sn 3.05-3.24
9 In 0.7500 0.1250 0.3750  8 Sn 3.05-3.24
10 In 0.7500 0.6250 0.8750  8 Sn 3.05-3.24
11 In 0.8750 0.6250 0.2500  8 Sn 3.05-3.24
12 In 0.8750 0.7500 0.6250  8 Sn 3.05-3.24
13 Sn 0.0644 0.2278 0.1383  2 Hg 2.93-2.96, 2 In 3.05-3.24, 1 Sn 3.22
14 Sn 0.0644 0.3366 0.9261  2 Hg 2.93-2.96, 2 In 3.05-3.24, 1 Sn 3.22
15 Sn 0.0739 0.6383 0.4105  2 Hg 2.93-2.96, 2 In 3.05-3.24, 1 Sn 3.22
16 Sn 0.0739 0.9356 0.6634  2 Hg 2.93-2.96, 2 In 3.05-3.24, 1 Sn 3.22
17 Sn 0.0895 0.7278 0.6634  2 Hg 2.93-2.96, 2 In 3.05-3.24, 1 Sn 3.22
18 Sn 0.0895 0.8617 0.4261  2 Hg 2.93-2.96, 2 In 3.05-3.24, 1 Sn 3.22
19 Sn 0.1383 0.0644 0.2278  2 Hg 2.93-2.96, 2 In 3.05-3.24, 1 Sn 3.22
20 Sn 0.1383 0.5739 0.9105  2 Hg 2.93-2.96, 2 In 3.05-3.24, 1 Sn 3.22
21 Sn 0.1634 0.2278 0.5895  2 Hg 2.93-2.96, 2 In 3.05-3.24, 1 Sn 3.22
22 Sn 0.1634 0.4356 0.5739  2 Hg 2.93-2.96, 2 In 3.05-3.24, 1 Sn 3.22
23 Sn 0.2278 0.1383 0.0644  2 Hg 2.93-2.96, 2 In 3.05-3.24, 1 Sn 3.22
24 Sn 0.2278 0.5895 0.1634  2 Hg 2.93-2.96, 2 In 3.05-3.24, 1 Sn 3.22
25 Sn 0.2722 0.3366 0.9105  2 Hg 2.93-2.96, 2 In 3.05-3.24, 1 Sn 3.22
26 Sn 0.2722 0.4356 0.3617  2 Hg 2.93-2.96, 2 In 3.05-3.24, 1 Sn 3.22
27 Sn 0.3366 0.9105 0.2722  2 Hg 2.93-2.96, 2 In 3.05-3.24, 1 Sn 3.22
28 Sn 0.3366 0.9261 0.0644  2 Hg 2.93-2.96, 2 In 3.05-3.24, 1 Sn 3.22
29 Sn 0.3617 0.2722 0.4356  2 Hg 2.93-2.96, 2 In 3.05-3.24, 1 Sn 3.22
30 Sn 0.3617 0.5895 0.9261  2 Hg 2.93-2.96, 2 In 3.05-3.24, 1 Sn 3.22
31 Sn 0.4105 0.0739 0.6383  2 Hg 2.93-2.96, 2 In 3.05-3.24, 1 Sn 3.22
32 Sn 0.4105 0.8366 0.7722  2 Hg 2.93-2.96, 2 In 3.05-3.24, 1 Sn 3.22
33 Sn 0.4261 0.0895 0.8617  2 Hg 2.93-2.96, 2 In 3.05-3.24, 1 Sn 3.22
34 Sn 0.4261 0.8366 0.5644  2 Hg 2.93-2.96, 2 In 3.05-3.24, 1 Sn 3.22
35 Sn 0.4356 0.3617 0.2722  2 Hg 2.93-2.96, 2 In 3.05-3.24, 1 Sn 3.22
36 Sn 0.4356 0.5739 0.1634  2 Hg 2.93-2.96, 2 In 3.05-3.24, 1 Sn 3.22
37 Sn 0.5644 0.4261 0.8366  2 Hg 2.93-2.96, 2 In 3.05-3.24, 1 Sn 3.22
38 Sn 0.5644 0.6383 0.7278  2 Hg 2.93-2.96, 2 In 3.05-3.24, 1 Sn 3.22
39 Sn 0.5739 0.1634 0.4356  2 Hg 2.93-2.96, 2 In 3.05-3.24, 1 Sn 3.22
40 Sn 0.5739 0.9105 0.1383  2 Hg 2.93-2.96, 2 In 3.05-3.24, 1 Sn 3.22
41 Sn 0.5895 0.1634 0.2278  2 Hg 2.93-2.96, 2 In 3.05-3.24, 1 Sn 3.22
42 Sn 0.5895 0.9261 0.3617  2 Hg 2.93-2.96, 2 In 3.05-3.24, 1 Sn 3.22
43 Sn 0.6383 0.4105 0.0739  2 Hg 2.93-2.96, 2 In 3.05-3.24, 1 Sn 3.22
44 Sn 0.6383 0.7278 0.5644  2 Hg 2.93-2.96, 2 In 3.05-3.24, 1 Sn 3.22
45 Sn 0.6634 0.0739 0.9356  2 Hg 2.93-2.96, 2 In 3.05-3.24, 1 Sn 3.22
46 Sn 0.6634 0.0895 0.7278  2 Hg 2.93-2.96, 2 In 3.05-3.24, 1 Sn 3.22
47 Sn 0.7278 0.5644 0.6383  2 Hg 2.93-2.96, 2 In 3.05-3.24, 1 Sn 3.22
48 Sn 0.7278 0.6634 0.0895  2 Hg 2.93-2.96, 2 In 3.05-3.24, 1 Sn 3.22
49 Sn 0.7722 0.4105 0.8366  2 Hg 2.93-2.96, 2 In 3.05-3.24, 1 Sn 3.22
50 Sn 0.7722 0.8617 0.9356  2 Hg 2.93-2.96, 2 In 3.05-3.24, 1 Sn 3.22
51 Sn 0.8366 0.5644 0.4261  2 Hg 2.93-2.96, 2 In 3.05-3.24, 1 Sn 3.22
52 Sn 0.8366 0.7722 0.4105  2 Hg 2.93-2.96, 2 In 3.05-3.24, 1 Sn 3.22
53 Sn 0.8617 0.4261 0.0895  2 Hg 2.93-2.96, 2 In 3.05-3.24, 1 Sn 3.22
54 Sn 0.8617 0.9356 0.7722  2 Hg 2.93-2.96, 2 In 3.05-3.24, 1 Sn 3.22
55 Sn 0.9105 0.1383 0.5739  2 Hg 2.93-2.96, 2 In 3.05-3.24, 1 Sn 3.22
56 Sn 0.9105 0.2722 0.3366  2 Hg 2.93-2.96, 2 In 3.05-3.24, 1 Sn 3.22
57 Sn 0.9261 0.0644 0.3366  2 Hg 2.93-2.96, 2 In 3.05-3.24, 1 Sn 3.22
58 Sn 0.9261 0.3617 0.5895  2 Hg 2.93-2.96, 2 In 3.05-3.24, 1 Sn 3.22
59 Sn 0.9356 0.6634 0.0739  2 Hg 2.93-2.96, 2 In 3.05-3.24, 1 Sn 3.22
60 Sn 0.9356 0.7722 0.8617  2 Hg 2.93-2.96, 2 In 3.05-3.24, 1 Sn 3.22
61 Hg 0.0000 0.0000 0.0000  6 Sn 2.96
62 Hg 0.0000 0.0000 0.5000  6 Sn 2.96
63 Hg 0.0000 0.5000 0.0000  6 Sn 2.96
64 Hg 0.0000 0.5000 0.5000  6 Sn 2.96
65 Hg 0.1250 0.7500 0.8750  4 Sn 2.93
66 Hg 0.1250 0.8750 0.2500  4 Sn 2.93
67 Hg 0.2500 0.1250 0.8750  4 Sn 2.93
68 Hg 0.2500 0.6250 0.3750  4 Sn 2.93
69 Hg 0.3750 0.2500 0.6250  4 Sn 2.93
70 Hg 0.3750 0.6250 0.7500  4 Sn 2.93
71 Hg 0.5000 0.0000 0.0000  6 Sn 2.96
72 Hg 0.5000 0.0000 0.5000  6 Sn 2.96
73 Hg 0.5000 0.5000 0.0000  6 Sn 2.96
74 Hg 0.5000 0.5000 0.5000  6 Sn 2.96
75 Hg 0.6250 0.3750 0.2500  4 Sn 2.93
76 Hg 0.6250 0.7500 0.3750  4 Sn 2.93
77 Hg 0.7500 0.3750 0.6250  4 Sn 2.93
78 Hg 0.7500 0.8750 0.1250  4 Sn 2.93
79 Hg 0.8750 0.1250 0.7500  4 Sn 2.93
80 Hg 0.8750 0.2500 0.1250  4 Sn 2.93



8.
First-principles (PBE) data for crystalline In4SnHg at its relaxed geometry, as listed in Alexandria.

Computed properties:
The calculation puts the calculated formation energy at 0.02 eV per atom.

abc: 5.7687 5.7687 9.0057
angles: 110.14 110.14 35.77
Last column: nearest neighbours and their distance in Å.
Sites, in units of the cell vectors:
1 In 0.1599 0.1599 0.3347  3 Hg 3.21-3.48, 7 In 3.30-3.54, 2 Sn 3.39
2 In 0.1681 0.1681 0.8284  7 In 3.30-3.54, 3 Sn 3.32-3.40, 2 Hg 3.37
3 In 0.8319 0.8319 0.1716  7 In 3.30-3.54, 3 Sn 3.32-3.40, 2 Hg 3.37
4 In 0.8401 0.8401 0.6653  3 Hg 3.21-3.48, 7 In 3.30-3.54, 2 Sn 3.39
5 Sn 0.5000 0.5000 0.0000  10 In 3.32-3.40, 2 Sn 3.54
6 Hg 0.5000 0.5000 0.5000  10 In 3.21-3.48, 2 Hg 3.54



9.
First-principles (PBE) data for crystalline In5Sn2Hg4 at its relaxed geometry, as listed in Alexandria.

Computed properties:
The calculation puts the calculated formation energy at 0.07 eV per atom.

abc: 11.2354 11.2354 11.2354
angles: 163.60 128.29 54.62
Last column: nearest neighbours and their distance in Å.
Sites, in units of the cell vectors:
1 In 0.0000 0.0000 0.0000  4 Hg 3.06, 2 In 3.21
2 In 0.0659 0.3424 0.7235  3 Sn 3.15-3.46, 3 Hg 3.17-3.52, 2 In 3.21
3 In 0.3811 0.6576 0.7235  3 Sn 3.15-3.46, 3 Hg 3.17-3.52, 2 In 3.21
4 In 0.6189 0.3424 0.2765  3 Sn 3.15-3.46, 3 Hg 3.17-3.52, 2 In 3.21
5 In 0.9341 0.6576 0.2765  3 Sn 3.15-3.46, 3 Hg 3.17-3.52, 2 In 3.21
6 Sn 0.2710 0.7710 0.5000  1 Hg 2.99, 2 In 3.15, 2 Sn 3.21
7 Sn 0.7290 0.2290 0.5000  1 Hg 2.99, 2 In 3.15, 2 Sn 3.21
8 Hg 0.2663 0.5000 0.7663  4 In 3.06-3.17, 6 Hg 3.21
9 Hg 0.4209 0.9209 0.5000  1 Sn 2.99, 7 Hg 3.16-3.21
10 Hg 0.5791 0.0791 0.5000  1 Sn 2.99, 7 Hg 3.16-3.21
11 Hg 0.7337 0.5000 0.2337  4 In 3.06-3.17, 6 Hg 3.21



Calculated DFT total energy (eV per atom), listed in the same order as above: -3.02 -2.71 -1.69 -2.31 -1.78 -2.27 -2.73 -2.52 -2.01